# BaY2Ta PBE-GGA relaxed
data_BaY2Ta
_cell_length_a 3.543
_cell_length_b 4.492
_cell_length_c 8.323
_cell_angle_alpha 90.00
_cell_angle_beta 90.00
_cell_angle_gamma 90.00
_space_group_name_H-M_alt 'P m m 2'
_space_group_IT_number 25
loop_
_space_group_symop_operation_xyz
'x,y,z'
'-x,-y,z'
'-x,y,z'
'x,-y,z'
loop_
_atom_site_label
_atom_site_type_symbol
_atom_site_fract_x
_atom_site_fract_y
_atom_site_fract_z
_atom_site_occupancy
Ba1 Ba 0.000 0.000 0.000 1
Y1 Y 0.000 0.000 0.426 1
Y2 Y 0.500 0.500 0.652 1
Ta1 Ta 0.500 0.500 0.278 1
# Distance to the lowest polymorph of the same formula   195 meV/atom